An optimized crystal structure of Pm4SnHg3. Source: the Alexandria database, functional PBE.

It has space group P4/mmm (No. 123), with a = 3.7837 Å, b = 3.7837 Å, c = 15.5884 Å, α = 90.00°, β = 90.00° and γ = 90.00°. The distinct sites, in fractional coordinates, are Pm at (0.0000, 0.0000, 0.1226), Pm at (0.0000, 0.0000, 0.3707), Sn at (0.5000, 0.5000, 0.5000), Hg at (0.5000, 0.5000, 0.0000) and Hg at (0.5000, 0.5000, 0.2439).

The uncorrected energy is -28.1 eV per cell. For the formation energy, the calculation gives -0.52 eV per atom.